VASP calculation (PBE) on a geometry-optimized Ca3V5Se12 structure.

Cell and atoms, written as CIF:
```
data_Ca3V5Se12
_chemical_formula_sum 'Ca24 V40 Se96'
_cell_length_a 15.8180
_cell_length_b 15.8180
_cell_length_c 15.8180
_cell_angle_alpha 90.00
_cell_angle_beta 90.00
_cell_angle_gamma 90.00
_space_group_name_H-M_alt 'I a -3 d'
_space_group_IT_number 230
_space_group_name_Hall '-I 4bd 2c 3'
loop_
_atom_site_label
_atom_site_type_symbol
_atom_site_fract_x
_atom_site_fract_y
_atom_site_fract_z
Ca1 Ca 0.0000 0.2500 0.1250
V1 V 0.0000 0.0000 0.0000
V2 V 0.0000 0.2500 0.3750
Se1 Se 0.0341 0.0576 0.6480
```

Properties
The density of states at the Fermi level comes out at 108.05 states/eV/cell. As for the uncorrected formation energy: -0.927 eV per atom. The size of the total moment is 56.00 μB per cell.

---

VASP calculation (PBE) on a geometry-optimized AlTe3Rh structure.

Cell and atoms, written as CIF:
```
data_AlTe3Rh
_chemical_formula_sum 'Al1 Te3 Rh1'
_cell_length_a 5.2027
_cell_length_b 5.2027
_cell_length_c 5.2027
_cell_angle_alpha 90.00
_cell_angle_beta 90.00
_cell_angle_gamma 90.00
_space_group_name_H-M_alt 'P m -3 m'
_space_group_IT_number 221
_space_group_name_Hall '-P 4 2 3'
loop_
_atom_site_label
_atom_site_type_symbol
_atom_site_fract_x
_atom_site_fract_y
_atom_site_fract_z
Al1 Al 0.0000 0.0000 0.0000
Te1 Te 0.0000 0.0000 0.5000
Rh1 Rh 0.5000 0.5000 0.5000
```

Properties
The density of states at the Fermi level comes out at 5.14 states/eV/cell. As for the uncorrected formation energy: 0.787 eV per atom. The excess energy over the best structure of this formula in the dataset is 399 meV/atom. The size of the total moment is 1.30 μB per cell.

---

VASP calculation (PBE) on a geometry-optimized Cs4NaCl4 structure.

Cell and atoms, written as CIF:
```
data_Cs4NaCl4
_chemical_formula_sum 'Cs8 Na2 Cl8'
_cell_length_a 9.8293
_cell_length_b 9.8293
_cell_length_c 8.5100
_cell_angle_alpha 90.00
_cell_angle_beta 90.00
_cell_angle_gamma 90.00
_space_group_name_H-M_alt 'P 42/n m c'
_space_group_IT_number 137
loop_
_space_group_symop_operation_xyz
'x,y,z'
'-x,-y,-z'
'-y+1/2,x,z+1/2'
'y+1/2,-x,-z+1/2'
'-x+1/2,-y+1/2,z'
'x+1/2,y+1/2,-z'
'y,-x+1/2,z+1/2'
'-y,x+1/2,-z+1/2'
'x+1/2,-y,-z'
'-x+1/2,y,z'
'-y,-x,-z+1/2'
'y,x,z+1/2'
'-x,y+1/2,-z'
'x,-y+1/2,z'
'y+1/2,x+1/2,-z+1/2'
'-y+1/2,-x+1/2,z+1/2'
loop_
_atom_site_label
_atom_site_type_symbol
_atom_site_fract_x
_atom_site_fract_y
_atom_site_fract_z
Cs1 Cs 0.0258 0.2500 0.0907
Na1 Na 0.2500 0.7500 0.2500
Cl1 Cl 0.0373 0.7500 0.4709
```

Properties
The density of states at the Fermi level comes out at 3.70 states/eV/cell. As for the uncorrected formation energy: -1.606 eV per atom. The size of the total moment is 0.00 μB per cell.

---

VASP calculation (PBE) on a geometry-optimized CaRe2TcSe structure.

Cell and atoms, written as CIF:
```
data_CaRe2TcSe
_chemical_formula_sum 'Ca1 Re2 Tc1 Se1'
_cell_length_a 4.6454
_cell_length_b 4.6454
_cell_length_c 4.6383
_cell_angle_alpha 90.00
_cell_angle_beta 90.00
_cell_angle_gamma 90.00
_space_group_name_H-M_alt 'P 4/m m m'
_space_group_IT_number 123
_space_group_name_Hall '-P 4 2'
loop_
_atom_site_label
_atom_site_type_symbol
_atom_site_fract_x
_atom_site_fract_y
_atom_site_fract_z
Ca1 Ca 0.0000 0.0000 0.0000
Re1 Re 0.0000 0.5000 0.5000
Tc1 Tc 0.5000 0.5000 0.0000
Se1 Se 0.5000 0.5000 0.5000
```

Properties
The density of states at the Fermi level comes out at 3.09 states/eV/cell. As for the uncorrected formation energy: 1.098 eV per atom. The excess energy over the best structure of this formula in the dataset is 0 meV/atom. The size of the total moment is 2.06 μB per cell.

---

VASP calculation (PBE) on a geometry-optimized Tl2SiSe structure.

Cell and atoms, written as CIF:
```
data_Tl2SiSe
_chemical_formula_sum 'Tl4 Si2 Se2'
_cell_length_a 6.6738
_cell_length_b 7.6894
_cell_length_c 3.9718
_cell_angle_alpha 90.00
_cell_angle_beta 90.68
_cell_angle_gamma 90.00
_space_group_name_H-M_alt 'C 1 2/m 1'
_space_group_IT_number 12
loop_
_space_group_symop_operation_xyz
'x,y,z'
'-x,-y,-z'
'-x,y,-z'
'x,-y,z'
'x+1/2,y+1/2,z'
'-x+1/2,-y+1/2,-z'
'-x+1/2,y+1/2,-z'
'x+1/2,-y+1/2,z'
loop_
_atom_site_label
_atom_site_type_symbol
_atom_site_fract_x
_atom_site_fract_y
_atom_site_fract_z
Tl1 Tl 0.2500 0.2500 0.0000
Si1 Si 0.0000 0.0000 0.5000
Se1 Se 0.0000 0.5000 0.5000
```

Properties
The density of states at the Fermi level comes out at 3.83 states/eV/cell. As for the uncorrected formation energy: 0.285 eV per atom. The excess energy over the best structure of this formula in the dataset is 265 meV/atom. The size of the total moment is 0.00 μB per cell.

---

VASP calculation (PBE) on a geometry-optimized KCd2Se structure.

Cell and atoms, written as CIF:
```
data_KCd2Se
_chemical_formula_sum 'K3 Cd6 Se3'
_cell_length_a 4.3947
_cell_length_b 4.3947
_cell_length_c 22.5612
_cell_angle_alpha 90.00
_cell_angle_beta 90.00
_cell_angle_gamma 120.00
_space_group_name_H-M_alt 'R 3 m'
_space_group_IT_number 160
_space_group_name_Hall 'R 3 -2"'
loop_
_atom_site_label
_atom_site_type_symbol
_atom_site_fract_x
_atom_site_fract_y
_atom_site_fract_z
K1 K 0.0000 0.0000 0.0000
Cd1 Cd 0.0000 0.0000 0.2184
Cd2 Cd 0.0000 0.0000 0.4801
Se1 Se 0.0000 0.0000 0.7571
```

Properties
The density of states at the Fermi level comes out at 3.09 states/eV/cell. As for the uncorrected formation energy: -0.397 eV per atom. The size of the total moment is 0.00 μB per cell.